(1)
# AcCeMgAl PBE optimized geometry
# Total DFT energy (no corrections) (eV/atom): -3.9277
data_AcCeMgAl
_chemical_formula_sum 'Ac4 Ce4 Mg4 Al4'
_symmetry_space_group_name_H-M 'F -4 3 m'
_symmetry_Int_Tables_number 216
_symmetry_space_group_name_Hall 'F -4 2 3'
_cell_length_a 7.7770
_cell_length_b 7.7770
_cell_length_c 7.7770
_cell_angle_alpha 90.00
_cell_angle_beta 90.00
_cell_angle_gamma 90.00
loop_
_atom_site_label
_atom_site_type_symbol
_atom_site_fract_x
_atom_site_fract_y
_atom_site_fract_z
Ac1 Ac 0.0000 0.0000 0.0000
Ce1 Ce 0.0000 0.0000 0.5000
Mg1 Mg 0.2500 0.2500 0.2500
Al1 Al 0.2500 0.2500 0.7500

(2)
# ZnCo2NiC PBE optimized geometry
# Total DFT energy (no corrections) (eV/atom): -6.1348
data_ZnCo2NiC
_chemical_formula_sum 'Zn1 Co2 Ni1 C1'
_symmetry_space_group_name_H-M 'P 4/m m m'
_symmetry_Int_Tables_number 123
_symmetry_space_group_name_Hall '-P 4 2'
_cell_length_a 3.7268
_cell_length_b 3.7268
_cell_length_c 3.7748
_cell_angle_alpha 90.00
_cell_angle_beta 90.00
_cell_angle_gamma 90.00
loop_
_atom_site_label
_atom_site_type_symbol
_atom_site_fract_x
_atom_site_fract_y
_atom_site_fract_z
Zn1 Zn 0.0000 0.0000 0.0000
Co1 Co 0.0000 0.5000 0.5000
Ni1 Ni 0.5000 0.5000 0.0000
C1 C 0.5000 0.5000 0.5000

(3)
# KBa2Na2 PBE optimized geometry
# Energy relative to the lowest polymorph listed for this composition (meV per atom): 74
# Total DFT energy (no corrections) (eV/atom): -1.3956
data_KBa2Na2
_chemical_formula_sum 'K2 Ba4 Na4'
_symmetry_space_group_name_H-M 'I 4/m m m'
_symmetry_Int_Tables_number 139
_symmetry_space_group_name_Hall '-I 4 2'
_cell_length_a 5.9146
_cell_length_b 5.9146
_cell_length_c 17.0747
_cell_angle_alpha 90.00
_cell_angle_beta 90.00
_cell_angle_gamma 90.00
loop_
_atom_site_label
_atom_site_type_symbol
_atom_site_fract_x
_atom_site_fract_y
_atom_site_fract_z
K1 K 0.0000 0.0000 0.0000
Ba1 Ba 0.0000 0.5000 0.2500
Na1 Na 0.0000 0.0000 0.4057

| no. | DFT formation energy (eV/atom) | DOS(E_F) (states/eV per cell) |
| --- | --- | --- |
| 1 | -0.083 | 40.3 |
| 2 | -0.037 | 3.0 |
| 3 | 0.121 | 11.7 |